No. 1
! CaYIr2, optimized geometry, DFT GGA-PBE; values from VASP
! N(E_F), states/eV/atom: 0.70
! E_tot, eV for the cell shown: -52.5
! Total magnetic moment, μB per cell: 0.0
! Theoretical density, Mg/m³: 10.039
&SYSTEM
  ibrav = 0, nat = 8, ntyp = 3
/
ATOMIC_SPECIES
Y 88.91 Y.upf
Ca 40.08 Ca.upf
Ir 192.22 Ir.upf
CELL_PARAMETERS angstrom
7.577 0.000 0.000
0.000 7.577 0.000
3.789 3.789 2.958
ATOMIC_POSITIONS angstrom
Y 0.000 0.000 0.000
Y 7.577 3.789 1.479
Ca 3.789 3.789 0.000
Ca 3.789 7.577 1.479
Ir 5.729 1.894 0.740
Ir 1.848 5.683 0.740
Ir 5.683 5.637 2.219
Ir 9.471 9.517 2.219



No. 2
! CaY2Ir2, optimized geometry, DFT GGA-PBE; values from VASP
! N(E_F), states/eV/atom: 0.19
! Energy above the lowest structure with this stoichiometry, meV/atom: 67
! Total magnetic moment, μB per cell: 0.0
! Theoretical density, Mg/m³: 7.880
&SYSTEM
  ibrav = 0, nat = 5, ntyp = 3
/
ATOMIC_SPECIES
Y 88.91 Y.upf
Ca 40.08 Ca.upf
Ir 192.22 Ir.upf
CELL_PARAMETERS angstrom
-4.535 -0.412 0.810
-0.212 -3.530 -2.982
-1.240 -5.769 3.329
ATOMIC_POSITIONS angstrom
Y -4.074 -4.076 1.527
Y -1.912 -5.635 -0.369
Ca 0.000 0.000 0.000
Ir -2.131 -2.784 -0.140
Ir -3.856 -6.926 1.297



No. 3
! CaZnIr2, optimized geometry, DFT GGA-PBE; values from VASP
! N(E_F), states/eV/atom: 1.16
! E_tot, eV for the cell shown: -20.7
! Total magnetic moment, μB per cell: 0.0
! Theoretical density, Mg/m³: 12.106
&SYSTEM
  ibrav = 0, nat = 4, ntyp = 3
/
ATOMIC_SPECIES
Zn 65.41 Zn.upf
Ir 192.22 Ir.upf
Ca 40.08 Ca.upf
CELL_PARAMETERS angstrom
-4.771 1.577 0.022
-2.915 -3.066 -2.711
3.335 -0.826 3.667
ATOMIC_POSITIONS angstrom
Zn -3.843 -0.745 -1.345
Ir 0.000 0.000 0.000
Ir -1.712 -2.318 -0.195
Ca -2.640 0.003 1.172



Q: Among the records above, which one has the highest N(E_F)?
A: CaZnIr2



Q: What is the total magnetic moment in the first record?
A: 0.0 μB per cell